Entry from Alexandria via LeMat-Bulk: a relaxed structure of HgAs2SeI (PBE).

Properties
**Formation energy (no corrections)**: 0.914 eV/atom
**Crystal system**: tetragonal
**Polymorph energy (0 for the lowest one)**: 0.000 eV per atom
**Total DFT energy (no corrections)**: -2.013 eV/atom
**V**: 149.2 Å³ per cell

a b c (Å): 5.376 5.376 5.162
angles (deg): 90.00 90.00 90.00
Each line ends with the local moment (μB).
Atoms (fractional coordinates):
I 0.500 0.500 0.500  0.00
As 0.000 0.500 0.000  0.23
As 0.500 0.000 0.000  0.23
Hg 0.000 0.000 0.000  0.02
Se 0.000 0.000 0.500  -0.04

Entry from Alexandria via LeMat-Bulk: a relaxed structure of TePW (PBE).

Properties
**Formation energy (no corrections)**: 0.082 eV/atom
**Crystal system**: trigonal
**Polymorph energy (0 for the lowest one)**: 0.000 eV per atom
**Total DFT energy (no corrections)**: -7.086 eV/atom
**V**: 61.8 Å³ per cell

a b c (Å): 3.415 3.415 6.117
angles (deg): 90.00 90.00 120.00
Atoms (fractional coordinates):
Te 0.667 0.333 0.374
P 0.000 0.000 0.930
W 0.333 0.667 0.696